# GGA+U PuUCrO6, relaxed
data_PuUCrO6
_chemical_formula_sum 'Pu2 U2 Cr2 O12'
_cell_length_a 5.399
_cell_length_b 5.399
_cell_length_c 9.860
_cell_angle_alpha 90.00
_cell_angle_beta 90.00
_cell_angle_gamma 120.00
_symmetry_space_group_name_H-M 'P 1'
_symmetry_Int_Tables_number 1
loop_
_symmetry_equiv_pos_as_xyz
'x,y,z'
loop_
_atom_site_label
_atom_site_fract_x
_atom_site_fract_y
_atom_site_fract_z
Pu1 0.000 0.000 0.000
Pu2 0.000 0.000 0.500
U1 0.333 0.667 0.250
U2 0.667 0.333 0.750
Cr1 0.333 0.667 0.750
Cr2 0.667 0.333 0.250
O1 0.012 0.354 0.638
O2 0.012 0.658 0.862
O3 0.342 0.354 0.862
O4 0.342 0.988 0.638
O5 0.354 0.012 0.138
O6 0.354 0.342 0.362
O7 0.646 0.658 0.638
O8 0.646 0.988 0.862
O9 0.658 0.012 0.362
O10 0.658 0.646 0.138
O11 0.988 0.342 0.138
O12 0.988 0.646 0.362
# * Fermi-level density of states: 0.90 states/eV per atom
# * E_tot: -9.76 eV per atom
# * symmetry: No. 163